1 | {"formula": "WS3Cl", "functional": "PBE-GGA", "state": "optimized geometry", "lattice_angstrom": [[4.673, 0.000, 0.000], [0.000, 4.673, 0.000], [0.000, 0.000, 4.673]], "species": ["W", "S", "S", "S", "Cl"], "frac_coords": [[0.000, 0.000, 0.000], [0.000, 0.000, 0.500], [0.000, 0.500, 0.000], [0.500, 0.000, 0.000], [0.500, 0.500, 0.500]], "total_magnetization_mub_per_fu": 0.00, "space_group": "Pm-3m"}

2 | {"formula": "WS3Cl", "functional": "PBE-GGA", "state": "optimized geometry", "lattice_angstrom": [[4.541, 0.000, 0.000], [0.000, 4.541, 0.000], [0.000, 0.000, 4.541]], "species": ["W", "S", "S", "S", "Cl"], "frac_coords": [[0.000, 0.000, 0.000], [0.000, 0.500, 0.500], [0.500, 0.000, 0.500], [0.500, 0.500, 0.000], [0.500, 0.500, 0.500]], "total_magnetization_mub_per_fu": 2.84, "space_group": "Pm-3m"}

Preferred: 1; penalty for the next structure: 1.575 eV/atom.

1 | {"formula": "WSCl2", "functional": "PBE-GGA", "state": "optimized geometry", "lattice_angstrom": [[-4.472, 4.472, 2.286], [4.472, -4.472, 2.286], [4.472, 4.472, -2.286]], "species": ["W", "W", "S", "S", "Cl", "Cl", "Cl", "Cl"], "frac_coords": [[0.000, 0.000, 0.000], [0.750, 0.250, 0.500], [0.250, 0.750, 0.500], [0.500, 0.500, 0.000], [0.375, 0.230, 0.355], [0.770, 0.125, 0.145], [0.875, 0.020, 0.645], [0.980, 0.625, 0.855]], "total_magnetization_mub_per_fu": 0.37, "space_group": "I-42d"}

2 | {"formula": "WSCl2", "functional": "PBE-GGA", "state": "optimized geometry", "lattice_angstrom": [[1.504, 0.868, 11.999], [-1.504, 0.868, 11.999], [0.000, -1.736, 11.999]], "species": ["W", "S", "Cl", "Cl"], "frac_coords": [[0.000, 0.000, 0.000], [0.500, 0.500, 0.500], [0.062, 0.062, 0.062], [0.938, 0.938, 0.938]], "total_magnetization_mub_per_fu": 0.39, "space_group": "R-3m"}

3 | {"formula": "WSCl2", "functional": "PBE-GGA", "state": "optimized geometry", "lattice_angstrom": [[1.506, 0.869, 10.444], [-1.506, 0.869, 10.444], [0.000, -1.739, 10.444]], "species": ["W", "S", "Cl", "Cl"], "frac_coords": [[0.000, 0.000, 0.000], [0.500, 0.500, 0.500], [0.390, 0.390, 0.390], [0.610, 0.610, 0.610]], "total_magnetization_mub_per_fu": 0.00, "space_group": "R-3m"}

Preferred: 1; penalty for the next structure: 0.452 eV/atom.

1 | {"formula": "YWSCl2", "functional": "PBE-GGA", "state": "optimized geometry", "lattice_angstrom": [[4.849, 0.000, 0.000], [0.000, 4.849, 0.000], [0.000, 0.000, 4.625]], "species": ["Y", "W", "S", "Cl", "Cl"], "frac_coords": [[0.000, 0.000, 0.000], [0.500, 0.500, 0.500], [0.500, 0.500, 0.000], [0.000, 0.500, 0.500], [0.500, 0.000, 0.500]], "total_magnetization_mub_per_fu": 0.00, "space_group": "P4/mmm"}

2 | {"formula": "YWSCl2", "functional": "PBE-GGA", "state": "optimized geometry", "lattice_angstrom": [[5.140, 0.000, 0.000], [0.000, 5.140, 0.000], [0.000, 0.000, 5.443]], "species": ["Y", "W", "S", "Cl", "Cl"], "frac_coords": [[0.000, 0.000, 0.000], [0.500, 0.500, 0.500], [0.000, 0.000, 0.500], [0.000, 0.500, 0.000], [0.500, 0.000, 0.000]], "total_magnetization_mub_per_fu": 5.00, "space_group": "P4/mmm"}

Preferred: 1; penalty for the next structure: 0.107 eV/atom.

1 | {"formula": "YSCl3", "functional": "PBE-GGA", "state": "optimized geometry", "lattice_angstrom": [[6.283, -3.664, 0.000], [6.283, 3.664, 0.000], [-2.027, 0.000, 7.043]], "species": ["Y", "Y", "S", "S", "Cl", "Cl", "Cl", "Cl", "Cl", "Cl"], "frac_coords": [[0.168, 0.168, 0.499], [0.832, 0.832, 0.501], [0.445, 0.445, 0.381], [0.555, 0.555, 0.619], [0.041, 0.041, 0.735], [0.061, 0.541, 0.736], [0.459, 0.939, 0.264], [0.541, 0.061, 0.736], [0.939, 0.459, 0.264], [0.959, 0.959, 0.265]], "total_magnetization_mub_per_fu": 1.00, "space_group": "C2/m"}

2 | {"formula": "YSCl3", "functional": "PBE-GGA", "state": "optimized geometry", "lattice_angstrom": [[4.997, 0.000, 0.000], [0.000, 4.997, 0.000], [0.000, 0.000, 4.997]], "species": ["Y", "S", "Cl", "Cl", "Cl"], "frac_coords": [[0.000, 0.000, 0.000], [0.500, 0.500, 0.500], [0.000, 0.500, 0.500], [0.500, 0.000, 0.500], [0.500, 0.500, 0.000]], "total_magnetization_mub_per_fu": 0.00, "space_group": "Pm-3m"}

3 | {"formula": "YSCl3", "functional": "PBE-GGA", "state": "optimized geometry", "lattice_angstrom": [[5.308, 0.000, 0.000], [0.000, 5.308, 0.000], [0.000, 0.000, 5.308]], "species": ["Y", "S", "Cl", "Cl", "Cl"], "frac_coords": [[0.000, 0.000, 0.000], [0.500, 0.500, 0.500], [0.000, 0.000, 0.500], [0.000, 0.500, 0.000], [0.500, 0.000, 0.000]], "total_magnetization_mub_per_fu": 2.00, "space_group": "Pm-3m"}

Preferred: 1; penalty for the next structure: 0.527 eV/atom.

1 | {"formula": "YZnS2Cl", "functional": "PBE-GGA", "state": "optimized geometry", "lattice_angstrom": [[5.307, 0.000, 0.000], [0.000, 5.307, 0.000], [0.000, 0.000, 5.168]], "species": ["Y", "Zn", "S", "S", "Cl"], "frac_coords": [[0.000, 0.000, 0.000], [0.500, 0.500, 0.500], [0.000, 0.500, 0.000], [0.500, 0.000, 0.000], [0.000, 0.000, 0.500]], "total_magnetization_mub_per_fu": 0.00, "space_group": "P4/mmm"}

2 | {"formula": "YZnS2Cl", "functional": "PBE-GGA", "state": "optimized geometry", "lattice_angstrom": [[4.798, 0.000, 0.000], [0.000, 4.798, 0.000], [0.000, 0.000, 4.569]], "species": ["Y", "Zn", "S", "S", "Cl"], "frac_coords": [[0.000, 0.000, 0.000], [0.500, 0.500, 0.500], [0.000, 0.500, 0.500], [0.500, 0.000, 0.500], [0.500, 0.500, 0.000]], "total_magnetization_mub_per_fu": 0.00, "space_group": "P4/mmm"}

Preferred: 2; penalty for the next structure: 0.175 eV/atom.

1 | {"formula": "ZnS2Cl", "functional": "PBE-GGA", "state": "optimized geometry", "lattice_angstrom": [[0.000, 3.259, 3.259], [3.259, 0.000, 3.259], [3.259, 3.259, 0.000]], "species": ["Zn", "S", "S", "Cl"], "frac_coords": [[0.000, 0.000, 0.000], [0.250, 0.250, 0.250], [0.750, 0.750, 0.750], [0.500, 0.500, 0.500]], "total_magnetization_mub_per_fu": 0.00, "space_group": "Fm-3m"}

2 | {"formula": "ZnS2Cl", "functional": "PBE-GGA", "state": "optimized geometry", "lattice_angstrom": [[-3.120, 3.120, 4.904], [3.120, -3.120, 4.904], [3.120, 3.120, -4.904]], "species": ["Zn", "Zn", "S", "S", "S", "S", "Cl", "Cl"], "frac_coords": [[0.000, 0.000, 0.000], [0.750, 0.250, 0.500], [0.066, 0.625, 0.941], [0.375, 0.316, 0.441], [0.684, 0.125, 0.059], [0.875, 0.934, 0.559], [0.250, 0.750, 0.500], [0.500, 0.500, 0.000]], "total_magnetization_mub_per_fu": 0.00, "space_group": "I-42d"}

Preferred: 2; penalty for the next structure: 0.392 eV/atom.

1 | {"formula": "ZnS2Cl", "functional": "PBE-GGA", "state": "optimized geometry", "lattice_angstrom": [[1.863, 1.075, 7.144], [-1.863, 1.075, 7.144], [0.000, -2.151, 7.144]], "species": ["Zn", "S", "S", "Cl"], "frac_coords": [[0.000, 0.000, 0.000], [0.392, 0.392, 0.392], [0.608, 0.608, 0.608], [0.500, 0.500, 0.500]], "total_magnetization_mub_per_fu": 0.01, "space_group": "R-3m"}

2 | {"formula": "ZnS2Cl", "functional": "PBE-GGA", "state": "optimized geometry", "lattice_angstrom": [[1.492, 0.862, 10.519], [-1.492, 0.862, 10.519], [0.000, -1.723, 10.519]], "species": ["Zn", "S", "S", "Cl"], "frac_coords": [[0.000, 0.000, 0.000], [0.069, 0.069, 0.069], [0.931, 0.931, 0.931], [0.500, 0.500, 0.500]], "total_magnetization_mub_per_fu": 0.00, "space_group": "R-3m"}

Preferred: 1; penalty for the next structure: 0.550 eV/atom.

1 | {"formula": "Sb5Cl", "functional": "PBE-GGA", "state": "optimized geometry", "lattice_angstrom": [[4.514, 0.000, 0.000], [0.000, 1.564, 12.574], [0.000, -1.564, 12.574]], "species": ["Sb", "Sb", "Sb", "Sb", "Sb", "Cl"], "frac_coords": [[0.000, 0.000, 0.000], [0.000, 0.328, 0.328], [0.500, 0.251, 0.251], [0.500, 0.587, 0.587], [0.500, 0.921, 0.921], [0.000, 0.646, 0.646]], "total_magnetization_mub_per_fu": 0.00, "space_group": "Amm2"}

2 | {"formula": "Sb5Cl", "functional": "PBE-GGA", "state": "optimized geometry", "lattice_angstrom": [[0.000, 4.401, 4.401], [4.401, 0.000, 4.401], [4.401, 4.401, 0.000]], "species": ["Sb", "Sb", "Sb", "Sb", "Sb", "Cl"], "frac_coords": [[0.000, 0.000, 0.000], [0.130, 0.623, 0.623], [0.623, 0.130, 0.623], [0.623, 0.623, 0.130], [0.623, 0.623, 0.623], [0.250, 0.250, 0.250]], "total_magnetization_mub_per_fu": 0.00, "space_group": "F-43m"}

3 | {"formula": "Sb5Cl", "functional": "PBE-GGA", "state": "optimized geometry", "lattice_angstrom": [[3.787, 0.000, 0.000], [0.000, 3.787, 0.000], [0.000, 0.000, 11.409]], "species": ["Sb", "Sb", "Sb", "Sb", "Sb", "Cl"], "frac_coords": [[0.000, 0.000, 0.000], [0.000, 0.000, 0.315], [0.000, 0.000, 0.685], [0.500, 0.500, 0.178], [0.500, 0.500, 0.822], [0.500, 0.500, 0.500]], "total_magnetization_mub_per_fu": 0.00, "space_group": "P4/mmm"}

4 | {"formula": "Sb5Cl", "functional": "PBE-GGA", "state": "optimized geometry", "lattice_angstrom": [[5.821, 0.000, 0.000], [-2.911, 5.041, 0.000], [0.000, 0.000, 5.540]], "species": ["Sb", "Sb", "Sb", "Sb", "Sb", "Cl"], "frac_coords": [[0.000, 0.639, 0.000], [0.333, 0.667, 0.500], [0.361, 0.361, 0.000], [0.639, 0.000, 0.000], [0.667, 0.333, 0.500], [0.000, 0.000, 0.500]], "total_magnetization_mub_per_fu": 0.00, "space_group": "P-62m"}

Preferred: 1; penalty for the next structure: 0.084 eV/atom.

1 | {"formula": "Sb3Cl4", "functional": "PBE-GGA", "state": "optimized geometry", "lattice_angstrom": [[6.323, 0.000, 0.000], [-3.162, 5.476, 0.000], [0.000, 0.000, 5.141]], "species": ["Sb", "Sb", "Sb", "Cl", "Cl", "Cl", "Cl"], "frac_coords": [[0.000, 0.500, 0.000], [0.500, 0.000, 0.000], [0.500, 0.500, 0.000], [0.000, 0.000, 0.258], [0.000, 0.000, 0.742], [0.333, 0.667, 0.500], [0.667, 0.333, 0.500]], "total_magnetization_mub_per_fu": 0.00, "space_group": "P6/mmm"}

2 | {"formula": "Sb3Cl4", "functional": "PBE-GGA", "state": "optimized geometry", "lattice_angstrom": [[-1.790, 1.790, 15.667], [1.790, -1.790, 15.667], [1.790, 1.790, -15.667]], "species": ["Sb", "Sb", "Sb", "Cl", "Cl", "Cl", "Cl"], "frac_coords": [[0.000, 0.000, 0.000], [0.284, 0.284, 0.000], [0.716, 0.716, 0.000], [0.164, 0.164, 0.000], [0.447, 0.447, 0.000], [0.553, 0.553, 0.000], [0.836, 0.836, 0.000]], "total_magnetization_mub_per_fu": 0.57, "space_group": "I4/mmm"}

Preferred: 2; penalty for the next structure: 0.147 eV/atom.

1 | {"formula": "Sb3Cl2", "functional": "PBE-GGA", "state": "optimized geometry", "lattice_angstrom": [[0.000, 9.556, 1.560], [9.378, 0.000, 1.560], [9.378, 9.556, 0.000]], "species": ["Sb", "Sb", "Sb", "Sb", "Sb", "Sb", "Cl", "Cl", "Cl", "Cl"], "frac_coords": [[0.000, 0.000, 0.000], [0.085, 0.158, 0.633], [0.126, 0.617, 0.092], [0.158, 0.085, 0.124], [0.250, 0.250, 0.250], [0.617, 0.126, 0.165], [0.129, 0.633, 0.265], [0.277, 0.985, 0.617], [0.633, 0.129, 0.973], [0.985, 0.277, 0.121]], "total_magnetization_mub_per_fu": 0.00, "space_group": "Fdd2"}

2 | {"formula": "Sb3Cl2", "functional": "PBE-GGA", "state": "optimized geometry", "lattice_angstrom": [[4.312, 0.000, 0.000], [-2.156, 3.735, 0.000], [0.000, 0.000, 11.558]], "species": ["Sb", "Sb", "Sb", "Cl", "Cl"], "frac_coords": [[0.000, 0.000, 0.000], [0.333, 0.667, 0.432], [0.667, 0.333, 0.568], [0.333, 0.667, 0.888], [0.667, 0.333, 0.112]], "total_magnetization_mub_per_fu": 0.00, "space_group": "P-3m1"}

Preferred: 1; penalty for the next structure: 0.017 eV/atom.

1 | {"formula": "Sb4Cl", "functional": "PBE-GGA", "state": "optimized geometry", "lattice_angstrom": [[-2.532, 2.532, 6.524], [2.532, -2.532, 6.524], [2.532, 2.532, -6.524]], "species": ["Sb", "Sb", "Sb", "Sb", "Cl"], "frac_coords": [[0.128, 0.128, 0.000], [0.250, 0.750, 0.500], [0.750, 0.250, 0.500], [0.872, 0.872, 0.000], [0.500, 0.500, 0.000]], "total_magnetization_mub_per_fu": 0.00, "space_group": "I4/mmm"}

2 | {"formula": "Sb4Cl", "functional": "PBE-GGA", "state": "optimized geometry", "lattice_angstrom": [[5.329, 0.000, 0.000], [0.000, 5.329, 0.000], [0.000, 0.000, 5.329]], "species": ["Sb", "Sb", "Sb", "Sb", "Cl"], "frac_coords": [[0.000, 0.000, 0.000], [0.000, 0.500, 0.500], [0.500, 0.000, 0.500], [0.500, 0.500, 0.000], [0.500, 0.500, 0.500]], "total_magnetization_mub_per_fu": 0.00, "space_group": "Pm-3m"}

Preferred: 1; penalty for the next structure: 0.746 eV/atom.